[1]
# LaTh3Se4, relaxed, DFT GGA-PBE
data_LaTh3Se4
_symmetry_space_group_name_H-M 'C m m m'
_symmetry_Int_Tables_number 65
_symmetry_space_group_name_Hall '-C 2 2'
_cell_length_a 8.375
_cell_length_b 11.948
_cell_length_c 4.271
_cell_angle_alpha 90.00
_cell_angle_beta 90.00
_cell_angle_gamma 90.00
loop_
_atom_site_label
_atom_site_fract_x
_atom_site_fract_y
_atom_site_fract_z
La1 0.000 0.000 0.000
Th1 0.000 0.500 0.000
Th2 0.250 0.250 0.500
Se1 0.000 0.251 0.000
Se2 0.247 0.500 0.500
# Total DFT energy (no corrections) ... -6.791 eV per atom
# Crystal system ... orthorhombic
# Formation energy (no corrections) ... -1273.9 kJ/mol of formula units


[2]
# OF, relaxed, DFT GGA-PBE
data_OF
_symmetry_space_group_name_H-M 'P -1'
_symmetry_Int_Tables_number 2
_cell_length_a 2.203
_cell_length_b 4.387
_cell_length_c 5.302
_cell_angle_alpha 69.35
_cell_angle_beta 78.46
_cell_angle_gamma 76.38
loop_
_symmetry_equiv_pos_as_xyz
'x,y,z'
'-x,-y,-z'
loop_
_atom_site_label
_atom_site_fract_x
_atom_site_fract_y
_atom_site_fract_z
O1 0.038 0.042 0.379
F1 0.300 0.660 0.209
# Total DFT energy (no corrections) ... -3.248 eV per atom
# Crystal system ... triclinic
# Formation energy (no corrections) ... 32.2 kJ/mol of formula units
# Energy relative to the lowest polymorph listed for this composition ... 0.312 eV/atom


[3]
# ZrWCl2, relaxed, DFT GGA-PBE
data_ZrWCl2
_symmetry_space_group_name_H-M 'C m m m'
_symmetry_Int_Tables_number 65
_symmetry_space_group_name_Hall '-C 2 2'
_cell_length_a 2.905
_cell_length_b 5.797
_cell_length_c 8.869
_cell_angle_alpha 90.00
_cell_angle_beta 90.00
_cell_angle_gamma 90.00
loop_
_atom_site_label
_atom_site_fract_x
_atom_site_fract_y
_atom_site_fract_z
Zr1 0.000 0.000 0.000
W1 0.000 0.000 0.500
Cl1 0.000 0.500 0.260
# Total DFT energy (no corrections) ... -6.007 eV per atom
# Crystal system ... orthorhombic
# Formation energy (no corrections) ... 112.4 kJ/mol of formula units
# Energy relative to the lowest polymorph listed for this composition ... 0.798 eV/atom